[1]
The following is a DFT calculation (PBE) of a relaxed MnReP crystal.

Cell and atoms, written as CIF:
```
data_MnReP
_chemical_formula_sum 'Mn4 Re4 P4'
_symmetry_space_group_name_H-M 'F -4 3 m'
_symmetry_Int_Tables_number 216
_symmetry_space_group_name_Hall 'F -4 2 3'
_cell_length_a 5.646
_cell_length_b 5.646
_cell_length_c 5.646
_cell_angle_alpha 90.00
_cell_angle_beta 90.00
_cell_angle_gamma 90.00
loop_
_atom_site_label
_atom_site_fract_x
_atom_site_fract_y
_atom_site_fract_z
Mn1 0.000 0.000 0.000
Re1 0.250 0.250 0.750
P1 0.000 0.000 0.500
```

- total magnetization (μB/f.u.) = 1.0
- total energy (eV/atom) = -8.930

[2]
The following is a DFT calculation (PBE) of a relaxed MnReP crystal.

Cell and atoms, written as CIF:
```
data_MnReP
_chemical_formula_sum 'Mn4 Re4 P4'
_symmetry_space_group_name_H-M 'F -4 3 m'
_symmetry_Int_Tables_number 216
_symmetry_space_group_name_Hall 'F -4 2 3'
_cell_length_a 5.486
_cell_length_b 5.486
_cell_length_c 5.486
_cell_angle_alpha 90.00
_cell_angle_beta 90.00
_cell_angle_gamma 90.00
loop_
_atom_site_label
_atom_site_fract_x
_atom_site_fract_y
_atom_site_fract_z
Mn1 0.000 0.000 0.000
Re1 0.250 0.250 0.750
P1 0.250 0.250 0.250
```

- total magnetization (μB/f.u.) = 0.0
- total energy (eV/atom) = -9.138

[3]
The following is a DFT calculation (PBE) of a relaxed Mn2ReP crystal.

Cell and atoms, written as CIF:
```
data_Mn2ReP
_chemical_formula_sum 'Mn8 Re4 P4'
_symmetry_space_group_name_H-M 'F -4 3 m'
_symmetry_Int_Tables_number 216
_symmetry_space_group_name_Hall 'F -4 2 3'
_cell_length_a 5.779
_cell_length_b 5.779
_cell_length_c 5.779
_cell_angle_alpha 90.00
_cell_angle_beta 90.00
_cell_angle_gamma 90.00
loop_
_atom_site_label
_atom_site_fract_x
_atom_site_fract_y
_atom_site_fract_z
Mn1 0.000 0.000 0.000
Mn2 0.250 0.250 0.250
Re1 0.250 0.250 0.750
P1 0.000 0.000 0.500
```

- total magnetization (μB/f.u.) = 2.1
- total energy (eV/atom) = -9.151

[4]
The following is a DFT calculation (PBE) of a relaxed MnReP crystal.

Cell and atoms, written as CIF:
```
data_MnReP
_chemical_formula_sum 'Mn2 Re2 P2'
_symmetry_space_group_name_H-M 'I m m 2'
_symmetry_Int_Tables_number 44
_symmetry_space_group_name_Hall 'I 2 -2'
_cell_length_a 2.794
_cell_length_b 3.790
_cell_length_c 7.170
_cell_angle_alpha 90.00
_cell_angle_beta 90.00
_cell_angle_gamma 90.00
loop_
_atom_site_label
_atom_site_fract_x
_atom_site_fract_y
_atom_site_fract_z
Mn1 0.000 0.000 0.000
Re1 0.000 0.000 0.656
P1 0.000 0.000 0.323
```

- total magnetization (μB/f.u.) = 0.0
- total energy (eV/atom) = -8.945